Record 1
{
  "formula": "Li3Cu2S3O12",
  "functional": "meta-GGA SCAN",
  "state": "PBEsol geometry",
  "space_group": "R-3",
  "raw_formation_energy_ev_per_atom": -1.645,
  "mass_density_g_cm3": 3.1,
  "magmom_total_mub_per_atom": 0.05,
  "lattice": [[4.213, 2.432, 7.607], [-4.213, 2.432, 7.607], [0.000, -4.865, 7.607]],
  "species": ["Li", "Li", "Li", "Li", "Li", "Li", "Cu", "Cu", "Cu", "Cu", "S", "S", "S", "S", "S", "S", "O", "O", "O", "O", "O", "O", "O", "O", "O", "O", "O", "O", "O", "O", "O", "O", "O", "O", "O", "O", "O", "O", "O", "O"],
  "frac_coords": [[0.161, 0.421, 0.779], [0.221, 0.839, 0.579], [0.421, 0.779, 0.161], [0.579, 0.221, 0.839], [0.779, 0.161, 0.421], [0.839, 0.579, 0.221], [0.159, 0.159, 0.159], [0.351, 0.351, 0.351], [0.649, 0.649, 0.649], [0.841, 0.841, 0.841], [0.052, 0.748, 0.452], [0.252, 0.548, 0.948], [0.452, 0.052, 0.748], [0.548, 0.948, 0.252], [0.748, 0.452, 0.052], [0.948, 0.252, 0.548], [0.010, 0.958, 0.343], [0.042, 0.657, 0.990], [0.062, 0.700, 0.639], [0.093, 0.309, 0.506], [0.249, 0.640, 0.343], [0.300, 0.361, 0.938], [0.309, 0.506, 0.093], [0.343, 0.010, 0.958], [0.343, 0.249, 0.640], [0.360, 0.657, 0.751], [0.361, 0.938, 0.300], [0.494, 0.907, 0.691], [0.506, 0.093, 0.309], [0.639, 0.062, 0.700], [0.640, 0.343, 0.249], [0.657, 0.751, 0.360], [0.657, 0.990, 0.042], [0.691, 0.494, 0.907], [0.700, 0.639, 0.062], [0.751, 0.360, 0.657], [0.907, 0.691, 0.494], [0.938, 0.300, 0.361], [0.958, 0.343, 0.010], [0.990, 0.042, 0.657]]
}

***

Record 2
{
  "formula": "MnBeAs2",
  "functional": "meta-GGA SCAN",
  "state": "PBEsol geometry",
  "space_group": "Imm2",
  "delta_e_f_ev_per_fu": 0.06,
  "mass_density_g_cm3": 6.0,
  "e_above_lowest_polymorph_mev_per_atom": 105,
  "magmom_total_mub_per_atom": 0.55,
  "lattice": [[-1.538, 1.694, 5.666], [1.538, -1.694, 5.666], [1.538, 1.694, -5.666]],
  "species": ["Mn", "Be", "As", "As"],
  "frac_coords": [[0.000, 0.000, 0.000], [0.363, 0.863, 0.500], [0.585, 0.585, 0.000], [0.829, 0.329, 0.500]]
}

***

Record 3
{
  "formula": "TlCoRe",
  "functional": "meta-GGA SCAN",
  "state": "PBEsol geometry",
  "space_group": "F-43m",
  "delta_e_f_ev_per_fu": 5.27,
  "mass_density_g_cm3": 13.5,
  "magmom_total_mub_per_atom": 1.31,
  "lattice": [[0.000, 3.025, 3.025], [3.025, 0.000, 3.025], [3.025, 3.025, 0.000]],
  "species": ["Tl", "Co", "Re"],
  "frac_coords": [[0.000, 0.000, 0.000], [0.750, 0.750, 0.750], [0.250, 0.250, 0.250]]
}

***

Record 4
{
  "formula": "CaCdP",
  "functional": "meta-GGA SCAN",
  "state": "PBEsol geometry",
  "space_group": "F-43m",
  "delta_e_f_ev_per_fu": -0.70,
  "mass_density_g_cm3": 4.2,
  "e_above_lowest_polymorph_mev_per_atom": 121,
  "magmom_total_mub_per_atom": 0.00,
  "lattice": [[0.000, 3.302, 3.302], [3.302, 0.000, 3.302], [3.302, 3.302, 0.000]],
  "species": ["Ca", "Cd", "P"],
  "frac_coords": [[0.000, 0.000, 0.000], [0.750, 0.750, 0.750], [0.500, 0.500, 0.500]]
}

***

Record 5
{
  "formula": "Y2WO6",
  "functional": "meta-GGA SCAN",
  "state": "PBEsol geometry",
  "space_group": "P2_12_12_1",
  "raw_formation_energy_ev_per_atom": -3.302,
  "mass_density_g_cm3": 6.6,
  "e_above_lowest_polymorph_mev_per_atom": 26,
  "magmom_total_mub_per_atom": 0.00,
  "lattice": [[5.207, 0.000, 0.000], [0.000, 8.529, 0.000], [0.000, 0.000, 20.716]],
  "species": ["Y", "Y", "Y", "Y", "Y", "Y", "Y", "Y", "Y", "Y", "Y", "Y", "Y", "Y", "Y", "Y", "W", "W", "W", "W", "W", "W", "W", "W", "O", "O", "O", "O", "O", "O", "O", "O", "O", "O", "O", "O", "O", "O", "O", "O", "O", "O", "O", "O", "O", "O", "O", "O", "O", "O", "O", "O", "O", "O", "O", "O", "O", "O", "O", "O", "O", "O", "O", "O", "O", "O", "O", "O", "O", "O", "O", "O"],
  "frac_coords": [[0.009, 0.250, 0.200], [0.040, 0.756, 0.568], [0.043, 0.414, 0.435], [0.091, 0.397, 0.665], [0.409, 0.603, 0.165], [0.457, 0.586, 0.935], [0.460, 0.244, 0.068], [0.491, 0.750, 0.700], [0.509, 0.250, 0.800], [0.540, 0.744, 0.432], [0.543, 0.086, 0.565], [0.591, 0.103, 0.335], [0.909, 0.897, 0.835], [0.957, 0.914, 0.065], [0.960, 0.256, 0.932], [0.991, 0.750, 0.300], [0.013, 0.024, 0.689], [0.069, 0.018, 0.443], [0.431, 0.982, 0.943], [0.487, 0.976, 0.189], [0.513, 0.476, 0.311], [0.569, 0.482, 0.557], [0.931, 0.518, 0.057], [0.987, 0.524, 0.811], [0.102, 0.684, 0.099], [0.123, 0.676, 0.868], [0.176, 0.390, 0.119], [0.178, 0.878, 0.747], [0.185, 0.452, 0.997], [0.203, 0.051, 0.878], [0.210, 0.120, 0.998], [0.211, 0.375, 0.860], [0.227, 0.055, 0.129], [0.228, 0.184, 0.722], [0.241, 0.470, 0.249], [0.242, 0.177, 0.485], [0.258, 0.823, 0.985], [0.259, 0.530, 0.749], [0.272, 0.816, 0.222], [0.273, 0.945, 0.629], [0.289, 0.625, 0.360], [0.290, 0.880, 0.498], [0.297, 0.949, 0.378], [0.315, 0.548, 0.497], [0.322, 0.122, 0.247], [0.324, 0.610, 0.619], [0.377, 0.324, 0.368], [0.398, 0.316, 0.599], [0.602, 0.816, 0.901], [0.623, 0.824, 0.132], [0.676, 0.110, 0.881], [0.678, 0.622, 0.253], [0.685, 0.048, 0.003], [0.703, 0.449, 0.122], [0.710, 0.380, 0.002], [0.711, 0.125, 0.140], [0.727, 0.445, 0.871], [0.728, 0.316, 0.278], [0.741, 0.030, 0.751], [0.742, 0.323, 0.515], [0.758, 0.677, 0.015], [0.759, 0.970, 0.251], [0.772, 0.684, 0.778], [0.773, 0.555, 0.371], [0.789, 0.875, 0.640], [0.790, 0.620, 0.502], [0.797, 0.551, 0.622], [0.815, 0.952, 0.503], [0.822, 0.378, 0.753], [0.824, 0.890, 0.381], [0.877, 0.176, 0.632], [0.898, 0.184, 0.401]]
}

***

Record 6
{
  "formula": "CdSe4Cl",
  "functional": "meta-GGA SCAN",
  "state": "PBEsol geometry",
  "space_group": "F-43m",
  "raw_formation_energy_ev_per_atom": 0.301,
  "mass_density_g_cm3": 6.1,
  "magmom_total_mub_per_atom": 0.00,
  "lattice": [[0.000, 3.977, 3.977], [3.977, 0.000, 3.977], [3.977, 3.977, 0.000]],
  "species": ["Cd", "Se", "Se", "Se", "Se", "Cl"],
  "frac_coords": [[0.000, 0.000, 0.000], [0.125, 0.625, 0.625], [0.625, 0.125, 0.625], [0.625, 0.625, 0.125], [0.625, 0.625, 0.625], [0.250, 0.250, 0.250]]
}

***

Record 7
{
  "formula": "Tl2Se",
  "functional": "meta-GGA SCAN",
  "state": "PBEsol geometry",
  "space_group": "Pnma",
  "raw_formation_energy_ev_per_atom": -0.390,
  "mass_density_g_cm3": 9.1,
  "e_above_lowest_polymorph_mev_per_atom": 2,
  "magmom_total_mub_per_atom": 0.00,
  "lattice": [[6.729, 0.000, 0.000], [0.000, 4.499, 0.000], [0.000, 0.000, 11.699]],
  "species": ["Tl", "Tl", "Tl", "Tl", "Tl", "Tl", "Tl", "Tl", "Se", "Se", "Se", "Se"],
  "frac_coords": [[0.040, 0.250, 0.165], [0.150, 0.750, 0.378], [0.350, 0.250, 0.878], [0.460, 0.750, 0.665], [0.540, 0.250, 0.335], [0.650, 0.750, 0.122], [0.850, 0.250, 0.622], [0.960, 0.750, 0.835], [0.238, 0.750, 0.042], [0.262, 0.250, 0.542], [0.738, 0.750, 0.458], [0.762, 0.250, 0.958]]
}

***

Record 8
{
  "formula": "LiTlHg",
  "functional": "meta-GGA SCAN",
  "state": "PBEsol geometry",
  "space_group": "I4mm",
  "delta_e_f_ev_per_fu": -0.71,
  "mass_density_g_cm3": 10.5,
  "e_above_lowest_polymorph_mev_per_atom": 15,
  "magmom_total_mub_per_atom": 0.00,
  "lattice": [[-1.901, 1.901, 4.494], [1.901, -1.901, 4.494], [1.901, 1.901, -4.494]],
  "species": ["Li", "Tl", "Hg"],
  "frac_coords": [[0.000, 0.000, 0.000], [0.327, 0.327, 0.000], [0.658, 0.658, 0.000]]
}